DFT (GGA-PBE) results for LiTcP after structural relaxation.

Spin magnetization (μB/cell): 0.00
Density of states at the Fermi level (states/eV per atom): 0.1645
Formation energy from the elements (meV/atom): -451
Polymorph energy (0 for the lowest one) (meV/atom): 86

Structure (POSCAR):
```
LiTcP
1.0
-1.5011 -2.3265 1.5823
1.9534 -2.4550 -3.3480
4.9135 0.0925 4.5910
Li Tc P
2 2 2
direct
0.3183 0.7622 0.1532
0.6817 0.2378 0.8468
0.1765 0.2446 0.4764
0.8235 0.7554 0.5236
0.7014 0.3287 0.2365
0.2986 0.6713 0.7635
```